Below is an optimized crystal structure of ZnMo, with properties calculated at the GGA-PBEsol level.

The structure belongs to space group P2_1/m (No. 11); the cell edges are 2.684, 4.311 and 5.029 Å and the angles 90.00°, 96.99° and 90.00°. The inequivalent atoms are Zn at (0.003, 0.250, 0.125) and Mo at (0.405, 0.250, 0.627).

The value obtained for the energy above the most stable polymorph in this dataset is 0 meV per atom.


Below is an optimized crystal structure of Ho4NiB14, with properties calculated at the GGA-PBEsol level.

The structure belongs to space group P4/mnc (No. 128); the cell edges are 7.167, 7.167 and 7.371 Å and the angles 90.00°, 90.00° and 90.00°. The inequivalent atoms are Ho at (0.169, 0.305, 0.000), Ni at (0.000, 0.000, 0.500), B at (0.000, 0.000, 0.112), B at (0.039, 0.825, 0.269) and B at (0.089, 0.589, 0.250).


Below is an optimized crystal structure of Al2B2Ru3, with properties calculated at the GGA-PBEsol level.

The structure belongs to space group Cmmm (No. 65); the cell edges are 3.019, 17.630 and 2.902 Å and the angles 90.00°, 90.00° and 90.00°. The inequivalent atoms are Al at (0.000, 0.079, 0.000), B at (0.000, 0.222, 0.000), Ru at (0.000, 0.325, 0.500) and Ru at (0.000, 0.500, 0.500).


Below is an optimized crystal structure of LaFeRu2, with properties calculated at the GGA-PBEsol level.

The structure belongs to space group Fm-3m (No. 225); the cell edges are 6.403, 6.403 and 6.403 Å and the angles 90.00°, 90.00° and 90.00°. The inequivalent atoms are La at (0.000, 0.000, 0.000), Fe at (0.000, 0.000, 0.500) and Ru at (0.250, 0.250, 0.250).

The value obtained for the energy above the most stable polymorph in this dataset is 0 meV per atom.


Below is an optimized crystal structure of YAg22, with properties calculated at the GGA-PBEsol level.

The structure belongs to space group Fd-3m (No. 227, origin choice 2); the cell edges are 14.811, 14.811 and 14.811 Å and the angles 90.00°, 90.00° and 90.00°. The inequivalent atoms are Y at (0.125, 0.125, 0.125), Ag at (0.000, 0.000, 0.000), Ag at (0.000, 0.000, 0.500), Ag at (0.012, 0.375, 0.875) and Ag at (0.060, 0.060, 0.323).


Below is an optimized crystal structure of LaOs2, with properties calculated at the GGA-PBEsol level.

The structure belongs to space group I4_1/amd (No. 141, origin choice 2); the cell edges are 4.293, 4.293 and 14.368 Å and the angles 90.00°, 90.00° and 90.00°. The inequivalent atoms are La at (0.000, 0.250, 0.375) and Os at (0.000, 0.250, 0.791).


Below is an optimized crystal structure of AlZnFe3, with properties calculated at the GGA-PBEsol level.

The structure belongs to space group Pm-3m (No. 221); the cell edges are 4.285, 4.285 and 4.285 Å and the angles 90.00°, 90.00° and 90.00°. The inequivalent atoms are Al at (0.000, 0.000, 0.000), Zn at (0.500, 0.500, 0.500) and Fe at (0.000, 0.500, 0.500).


Below is an optimized crystal structure of ZrSn3W, with properties calculated at the GGA-PBEsol level.

The structure belongs to space group Pm-3m (No. 221); the cell edges are 5.380, 5.380 and 5.380 Å and the angles 90.00°, 90.00° and 90.00°. The inequivalent atoms are Zr at (0.000, 0.000, 0.000), Sn at (0.000, 0.000, 0.500) and W at (0.500, 0.500, 0.500).


| no. | ΔH_f (0 K) (eV/atom) |
| --- | --- |
| 1 | 0.065 |
| 2 | -0.682 |
| 3 | -0.486 |
| 4 | 0.363 |
| 5 | 0.050 |
| 6 | 0.097 |
| 7 | 1.104 |
| 8 | 1.607 |